No. 1
First-principles (PBE) data for an optimized crystal structure of PrSc2O4, as listed in the Alexandria database.

Lattice parameters (Å, degrees): 6.588 6.588 6.588 119.88 119.88 90.20
Sites, in units of the cell vectors:
O  0.391  0.173  0.782
O  0.827  0.609  0.217
O  0.392  0.609  0.783
O  0.858  0.141  0.718
O  0.423  0.140  0.282
O  0.860  0.142  0.283
O  0.859  0.577  0.717
O  0.391  0.608  0.218
Sc  0.625  0.375  0.250
Sc  0.625  0.375  0.750
Sc  0.625  0.875  0.250
Sc  0.125  0.375  0.750
Pr  0.000  0.000  0.000
Pr  0.250  0.750  0.500

Calculated values
energy above the lowest structure with this stoichiometry	0.546	eV per formula unit
ΔE_f (raw)	-3.201	eV/atom

***

No. 2
First-principles (PBE) data for an optimized crystal structure of KLi3Cd4F12, as listed in the Alexandria database.

Lattice parameters (Å, degrees): 7.158 7.158 7.158 109.47 109.47 109.47
Sites, in units of the cell vectors:
K  0.000  0.000  0.000
F  0.843  0.679  0.164
F  0.321  0.836  0.157
F  0.164  0.843  0.679
F  0.836  0.157  0.321
F  0.321  0.164  0.485
F  0.164  0.485  0.321
F  0.836  0.515  0.679
F  0.485  0.321  0.164
F  0.515  0.679  0.836
F  0.679  0.164  0.843
F  0.157  0.321  0.836
F  0.679  0.836  0.515
Cd  0.500  0.000  0.000
Cd  0.500  0.500  0.500
Cd  0.000  0.500  0.000
Cd  0.000  0.000  0.500
Li  0.000  0.500  0.500
Li  0.500  0.000  0.500
Li  0.500  0.500  0.000

Calculated values
ΔE_f (raw)	-2.446	eV/atom

***

No. 3
First-principles (PBE) data for an optimized crystal structure of ScIBr3, as listed in the Alexandria database.

Lattice parameters (Å, degrees): 6.898 8.072 6.429 95.06 83.02 89.62
Sites, in units of the cell vectors:
Br  0.943  0.826  0.767
Br  0.170  0.224  0.375
Br  0.420  0.050  0.834
Br  0.252  0.754  0.210
Br  0.729  0.978  0.277
Br  0.502  0.580  0.668
I  0.945  0.321  0.845
I  0.727  0.483  0.199
Sc  0.588  0.788  0.960
Sc  0.084  0.015  0.084

Calculated values
energy above the lowest structure with this stoichiometry	0.226	eV per formula unit
ΔE_f (raw)	-1.292	eV/atom

***

No. 4
First-principles (PBE) data for an optimized crystal structure of GaTe2NF, as listed in the Alexandria database.

Lattice parameters (Å, degrees): 5.601 5.601 3.520 90.00 90.00 90.00
Site moments in Bohr magnetons follow the coordinates.
Sites, in units of the cell vectors:
F  0.500  0.500  0.500  0.08
Te  0.500  0.000  0.000  0.12
Te  0.000  0.500  0.000  0.12
Ga  0.000  0.000  0.000  0.00
N  0.000  0.000  0.500  0.40

Calculated values
energy above the lowest structure with this stoichiometry	0.000	eV per formula unit
ΔE_f (raw)	0.511	eV/atom

***

No. 5
First-principles (PBE) data for an optimized crystal structure of Pm3Sm2Y5, as listed in the Alexandria database.

Lattice parameters (Å, degrees): 11.071 10.004 10.004 56.13 56.40 56.40
Sites, in units of the cell vectors:
Y  0.376  0.716  0.531
Y  0.000  0.750  0.750
Y  0.000  0.250  0.250
Y  0.500  0.750  0.750
Y  0.750  0.500  0.500
Y  0.876  0.531  0.716
Y  0.624  0.284  0.469
Y  0.500  0.250  0.250
Y  0.250  0.500  0.500
Y  0.124  0.469  0.284
Pm  0.371  0.381  0.877
Pm  0.750  0.000  0.000
Pm  0.129  0.123  0.619
Pm  0.629  0.619  0.123
Pm  0.250  0.000  0.000
Pm  0.871  0.877  0.381
Sm  0.879  0.217  0.025
Sm  0.621  0.975  0.783
Sm  0.121  0.783  0.975
Sm  0.379  0.025  0.217

Calculated values
energy above the lowest structure with this stoichiometry	2.188	eV per formula unit
ΔE_f	396	meV per atom

***

No. 6
First-principles (PBE) data for an optimized crystal structure of PrGd2Re, as listed in the Alexandria database.

Lattice parameters (Å, degrees): 3.307 3.307 11.641 81.83 81.83 60.00
Site moments in Bohr magnetons follow the coordinates.
Sites, in units of the cell vectors:
Re  0.000  0.000  0.000  -0.68
Gd  0.924  0.924  0.228  7.14
Gd  0.076  0.076  0.772  7.14
Pr  0.500  0.500  0.500  -0.07

Calculated values
ΔE_f	807	meV per atom

***

No. 7
First-principles (PBE) data for an optimized crystal structure of Ti2Cu2F, as listed in the Alexandria database.

Lattice parameters (Å, degrees): 7.268 7.268 2.813 90.00 90.00 90.00
Sites, in units of the cell vectors:
Cu  0.119  0.381  0.000
Cu  0.619  0.119  0.000
Cu  0.381  0.881  0.000
Cu  0.881  0.619  0.000
F  0.000  0.000  0.000
F  0.500  0.500  0.000
Ti  0.323  0.177  0.500
Ti  0.177  0.677  0.500
Ti  0.823  0.323  0.500
Ti  0.677  0.823  0.500

Calculated values
energy above the lowest structure with this stoichiometry	0.000	eV per formula unit
ΔE_f (raw)	-0.099	eV/atom

***

No. 8
First-principles (PBE) data for an optimized crystal structure of MgZnCd2, as listed in the Alexandria database.

Lattice parameters (Å, degrees): 3.168 3.173 8.115 90.00 90.00 90.01
Sites, in units of the cell vectors:
Zn  0.500  0.500  0.745
Cd  0.500  0.500  0.255
Cd  0.000  0.000  0.976
Mg  0.000  0.000  0.524

Calculated values
energy above the lowest structure with this stoichiometry	0.024	eV per formula unit
ΔE_f	-15	meV per atom

***

No. 9
First-principles (PBE) data for an optimized crystal structure of Li3CdIn3Ag2, as listed in the Alexandria database.

Lattice parameters (Å, degrees): 3.165 8.015 8.015 120.00 90.00 90.00
Sites, in units of the cell vectors:
Ag  0.500  0.333  0.667
Ag  0.500  0.667  0.333
In  0.000  0.634  0.634
In  0.000  0.366  0.000
In  0.000  0.000  0.366
Li  0.500  0.000  0.699
Li  0.500  0.699  0.000
Li  0.500  0.301  0.301
Cd  0.000  0.000  0.000

Calculated values
ΔE_f	-204	meV per atom

***

No. 10
First-principles (PBE) data for an optimized crystal structure of PmPr2YBi5, as listed in the Alexandria database.

Lattice parameters (Å, degrees): 5.552 5.552 11.976 90.00 90.00 90.00
Sites, in units of the cell vectors:
Bi  0.000  0.000  0.244
Bi  0.500  0.500  0.000
Bi  0.000  0.500  0.500
Bi  0.000  0.000  0.756
Bi  0.500  0.000  0.500
Pr  0.500  0.500  0.724
Pr  0.500  0.500  0.276
Pm  0.000  0.000  0.500
Y  0.000  0.000  0.000

Calculated values
ΔE_f	-81	meV per atom

***

No. 11
First-principles (PBE) data for an optimized crystal structure of KBa2Ni, as listed in the Alexandria database.

Lattice parameters (Å, degrees): 5.993 5.993 5.993 60.00 60.00 60.00
Sites, in units of the cell vectors:
Ba  0.250  0.250  0.250
Ba  0.000  0.000  0.000
K  0.500  0.500  0.500
Ni  0.750  0.750  0.750

Calculated values
energy above the lowest structure with this stoichiometry	2.139	eV per formula unit
ΔE_f	573	meV per atom

***

No. 12
First-principles (PBE) data for an optimized crystal structure of CsBi2Rh, as listed in the Alexandria database.

Lattice parameters (Å, degrees): 3.502 3.502 9.568 90.00 90.00 90.00
Sites, in units of the cell vectors:
Bi  0.000  0.000  0.171
Bi  0.000  0.000  0.829
Cs  0.500  0.500  0.500
Rh  0.500  0.500  0.000

Calculated values
energy above the lowest structure with this stoichiometry	0.492	eV per formula unit
ΔE_f	-103	meV per atom

***

No. 13
First-principles (PBE) data for an optimized crystal structure of PAu3N, as listed in the Alexandria database.

Lattice parameters (Å, degrees): 4.401 4.401 4.401 90.00 90.00 90.00
Sites, in units of the cell vectors:
Au  0.000  0.000  0.500
Au  0.500  0.000  0.000
Au  0.000  0.500  0.000
P  0.500  0.500  0.500
N  0.000  0.000  0.000

Calculated values
energy above the lowest structure with this stoichiometry	0.000	eV per formula unit
ΔE_f (raw)	1.078	eV/atom

***

No. 14
First-principles (PBE) data for an optimized crystal structure of PrErAgSb, as listed in the Alexandria database.

Lattice parameters (Å, degrees): 5.305 5.305 5.305 60.00 60.00 60.00
Sites, in units of the cell vectors:
Pr  0.250  0.250  0.250
Ag  0.000  0.000  0.000
Er  0.750  0.750  0.750
Sb  0.500  0.500  0.500

Calculated values
ΔE_f (raw)	-0.541	eV/atom

***

No. 15
First-principles (PBE) data for an optimized crystal structure of AcCe2Sb3, as listed in the Alexandria database.

Lattice parameters (Å, degrees): 9.182 9.182 9.182 51.03 51.03 51.03
Site moments in Bohr magnetons follow the coordinates.
Sites, in units of the cell vectors:
Sb  0.070  0.750  0.430  -0.03
Sb  0.570  0.930  0.250  -0.03
Sb  0.430  0.070  0.750  -0.03
Sb  0.750  0.430  0.070  -0.03
Sb  0.250  0.570  0.930  -0.03
Sb  0.930  0.250  0.570  -0.03
Ce  0.834  0.834  0.834  0.86
Ce  0.666  0.666  0.666  0.86
Ce  0.334  0.334  0.334  0.86
Ce  0.166  0.166  0.166  0.86
Ac  0.500  0.500  0.500  0.03
Ac  0.000  0.000  0.000  0.03

Calculated values
energy above the lowest structure with this stoichiometry	0.885	eV per formula unit
ΔE_f (raw)	-0.931	eV/atom

***

No. 16
First-principles (PBE) data for an optimized crystal structure of ZnH2Cl2, as listed in the Alexandria database.

Lattice parameters (Å, degrees): 3.713 3.712 15.945 102.96 102.96 89.96
Sites, in units of the cell vectors:
Cl  0.478  0.195  0.090
Cl  0.805  0.522  0.910
Cl  0.445  0.228  0.590
Cl  0.772  0.555  0.410
H  0.033  0.883  0.756
H  0.217  0.867  0.744
H  0.117  0.967  0.244
H  0.133  0.783  0.256
Zn  0.858  0.142  0.500
Zn  0.392  0.608  0.000

***

No. 17
First-principles (PBE) data for an optimized crystal structure of TmHIr, as listed in the Alexandria database.

Lattice parameters (Å, degrees): 3.485 3.485 4.869 110.97 110.97 90.00
Sites, in units of the cell vectors:
Tm  0.633  0.633  0.265
H  0.082  0.082  0.164
Ir  0.285  0.285  0.571

Calculated values
energy above the lowest structure with this stoichiometry	1.424	eV per formula unit

***

No. 18
First-principles (PBE) data for an optimized crystal structure of Al2ZnIr, as listed in the Alexandria database.

Lattice parameters (Å, degrees): 4.762 4.762 4.762 132.64 132.63 69.20
Sites, in units of the cell vectors:
Ir  0.500  0.500  0.000
Al  0.000  0.000  0.000
Al  0.750  0.250  0.500
Zn  0.250  0.750  0.500

Calculated values
ΔE_f	-465	meV per atom

***

No. 19
First-principles (PBE) data for an optimized crystal structure of PmScCd2, as listed in the Alexandria database.

Lattice parameters (Å, degrees): 5.227 5.227 5.227 60.00 60.00 60.00
Site moments in Bohr magnetons follow the coordinates.
Sites, in units of the cell vectors:
Cd  0.750  0.750  0.750  0.01
Cd  0.250  0.250  0.250  0.01
Pm  0.000  0.000  0.000  0.09
Sc  0.500  0.500  0.500  0.19

Calculated values
energy above the lowest structure with this stoichiometry	0.033	eV per formula unit
ΔE_f	-290	meV per atom

***

No. 20
First-principles (PBE) data for an optimized crystal structure of LaCe4Eu, as listed in the Alexandria database.

Lattice parameters (Å, degrees): 6.478 6.478 6.478 60.00 60.00 60.00
Site moments in Bohr magnetons follow the coordinates.
Sites, in units of the cell vectors:
Ce  0.633  0.633  0.633  0.80
Ce  0.100  0.633  0.633  0.80
Ce  0.633  0.100  0.633  0.80
Ce  0.633  0.633  0.100  0.80
Eu  0.250  0.250  0.250  6.92
La  0.000  0.000  0.000  0.09

Calculated values
ΔE_f	229	meV per atom

***

No. 21
First-principles (PBE) data for an optimized crystal structure of TmPaNb, as listed in the Alexandria database.

Lattice parameters (Å, degrees): 3.430 3.430 13.405 97.35 97.35 90.00
Sites, in units of the cell vectors:
Pa  0.848  0.848  0.696
Pa  0.152  0.152  0.304
Tm  0.566  0.566  0.133
Tm  0.434  0.434  0.867
Nb  0.719  0.719  0.438
Nb  0.281  0.281  0.562

Calculated values
energy above the lowest structure with this stoichiometry	0.047	eV per formula unit
ΔE_f	210	meV per atom

***

No. 22
First-principles (PBE) data for an optimized crystal structure of HgGeBi2, as listed in the Alexandria database.

Lattice parameters (Å, degrees): 4.117 4.117 8.249 75.55 75.55 60.00
Sites, in units of the cell vectors:
Bi  0.258  0.258  0.225
Bi  0.075  0.075  0.775
Ge  0.667  0.667  0.998
Hg  0.499  0.499  0.502

Calculated values
ΔE_f	174	meV per atom

***

No. 23
First-principles (PBE) data for an optimized crystal structure of SmErAl, as listed in the Alexandria database.

Lattice parameters (Å, degrees): 3.602 5.083 5.083 120.00 90.00 90.00
Sites, in units of the cell vectors:
Er  0.405  0.333  0.667
Al  0.633  0.667  0.333
Sm  0.963  0.000  0.000

Calculated values
energy above the lowest structure with this stoichiometry	0.274	eV per formula unit
ΔE_f	-145	meV per atom

***

No. 24
First-principles (PBE) data for an optimized crystal structure of Hg2OsW, as listed in the Alexandria database.

Lattice parameters (Å, degrees): 4.734 4.734 3.134 90.00 90.00 90.00
Sites, in units of the cell vectors:
Hg  0.500  0.500  0.000
Hg  0.000  0.000  0.000
Os  0.500  0.000  0.500
W  0.000  0.500  0.500

Calculated values
energy above the lowest structure with this stoichiometry	3.342	eV per formula unit
ΔE_f	1242	meV per atom

***

No. 25
First-principles (PBE) data for an optimized crystal structure of GaAsSe2, as listed in the Alexandria database.

Lattice parameters (Å, degrees): 8.438 8.438 8.438 25.26 25.26 25.26
Sites, in units of the cell vectors:
As  0.000  0.000  0.000
Se  0.106  0.106  0.106
Se  0.894  0.894  0.894
Ga  0.500  0.500  0.500

Calculated values
energy above the lowest structure with this stoichiometry	0.000	eV per formula unit
ΔE_f (raw)	-0.061	eV/atom

***

| no. | total magnetic moment (Bohr magnetons per cell) | energy (eV/atom) |
| --- | --- | --- |
| 1 | 0.00 | -8.526 |
| 2 | 0.00 | -4.094 |
| 3 | 0.00 | -3.872 |
| 4 | 1.04 | -3.390 |
| 5 | 0.00 | -5.205 |
| 6 | 13.85 | -10.540 |
| 7 | 0.00 | -5.269 |
| 8 | 0.00 | -1.190 |
| 9 | 0.00 | -2.490 |
| 10 | 0.00 | -4.545 |
| 11 | 0.00 | -2.109 |
| 12 | 0.00 | -4.095 |
| 13 | 0.00 | -3.636 |
| 14 | 0.09 | -4.620 |
| 15 | 3.90 | -5.655 |
| 16 | 0.00 | -3.031 |
| 17 | 0.00 | -5.774 |
| 18 | 0.00 | -4.870 |
| 19 | 0.48 | -3.518 |
| 20 | 11.88 | -6.261 |
| 21 | 0.00 | -7.802 |
| 22 | 0.00 | -2.997 |
| 23 | 0.00 | -4.487 |
| 24 | 0.00 | -4.955 |
| 25 | 0.00 | -3.723 |